*1*
Ta2NiAg at its PBEsol-relaxed geometry. Source: the Alexandria database, functional meta-GGA SCAN. Values from VASP.

```
&SYSTEM
  ibrav = 0, nat = 4, ntyp = 3
/
ATOMIC_SPECIES
Ag 107.87 Ag.upf
Ni 58.69 Ni.upf
Ta 180.95 Ta.upf
ATOMIC_POSITIONS crystal
Ag 0.500 0.500 0.000
Ni 0.500 0.500 0.500
Ta 0.971 0.000 0.735
Ta 0.029 0.000 0.265
CELL_PARAMETERS angstrom
-0.089 -2.653 -0.806
3.983 -0.150 0.056
-0.123 -1.218 5.442
```

Total moment in μB/atom: 0.00

*2*
Ta2NiAg at its PBEsol-relaxed geometry. Source: the Alexandria database, functional meta-GGA SCAN. Values from VASP.

```
&SYSTEM
  ibrav = 0, nat = 4, ntyp = 3
/
ATOMIC_SPECIES
Ag 107.87 Ag.upf
Ni 58.69 Ni.upf
Ta 180.95 Ta.upf
ATOMIC_POSITIONS crystal
Ag 0.500 0.000 0.500
Ni 0.000 0.500 0.500
Ta 0.000 0.000 0.000
Ta 0.500 0.500 0.000
CELL_PARAMETERS angstrom
3.896 0.000 0.000
0.000 3.890 0.000
0.000 0.000 4.048
```

Total moment in μB/atom: 0.00

Which structure loses on stability? *2* does.

*1*
TaNiAg at its PBEsol-relaxed geometry. Source: the Alexandria database, functional meta-GGA SCAN. Values from VASP.

```
&SYSTEM
  ibrav = 0, nat = 3, ntyp = 3
/
ATOMIC_SPECIES
Ag 107.87 Ag.upf
Ni 58.69 Ni.upf
Ta 180.95 Ta.upf
ATOMIC_POSITIONS crystal
Ag 0.005 0.005 0.011
Ni 0.671 0.671 0.342
Ta 0.324 0.324 0.648
CELL_PARAMETERS angstrom
-1.216 1.432 -2.070
-3.338 -1.344 1.030
1.754 3.226 3.090
```

Total moment in μB/atom: 0.00

*2*
TaNiAg at its PBEsol-relaxed geometry. Source: the Alexandria database, functional meta-GGA SCAN. Values from VASP.

```
&SYSTEM
  ibrav = 0, nat = 3, ntyp = 3
/
ATOMIC_SPECIES
Ag 107.87 Ag.upf
Ni 58.69 Ni.upf
Ta 180.95 Ta.upf
ATOMIC_POSITIONS crystal
Ag 0.500 0.500 0.500
Ni 0.250 0.250 0.250
Ta 0.000 0.000 0.000
CELL_PARAMETERS angstrom
-0.618 2.461 3.247
-3.774 1.451 0.797
-2.093 -1.387 3.268
```

Total moment in μB/atom: 0.00

Which structure loses on stability? *2* does.

*1*
Y2Ni2Ag at its PBEsol-relaxed geometry. Source: the Alexandria database, functional meta-GGA SCAN. Values from VASP.

```
&SYSTEM
  ibrav = 0, nat = 10, ntyp = 3
/
ATOMIC_SPECIES
Y 88.91 Y.upf
Ni 58.69 Ni.upf
Ag 107.87 Ag.upf
ATOMIC_POSITIONS crystal
Y 0.500 0.177 0.677
Y 0.500 0.677 0.823
Y 0.500 0.823 0.323
Y 0.500 0.323 0.177
Ni 0.000 0.381 0.881
Ni 0.000 0.881 0.619
Ni 0.000 0.619 0.119
Ni 0.000 0.119 0.381
Ag 0.000 0.000 0.000
Ag 0.000 0.500 0.500
CELL_PARAMETERS angstrom
3.665 0.000 0.000
0.000 7.108 0.000
0.000 0.000 7.108
```

Total moment in μB/atom: 0.00

*2*
Y2Ni2Ag at its PBEsol-relaxed geometry. Source: the Alexandria database, functional meta-GGA SCAN. Values from VASP.

```
&SYSTEM
  ibrav = 0, nat = 5, ntyp = 3
/
ATOMIC_SPECIES
Y 88.91 Y.upf
Ni 58.69 Ni.upf
Ag 107.87 Ag.upf
ATOMIC_POSITIONS crystal
Y 0.750 0.500 0.750
Y 0.250 0.500 0.250
Ni 0.651 0.302 0.349
Ni 0.349 0.698 0.651
Ag 0.000 0.000 0.000
CELL_PARAMETERS angstrom
-3.770 3.333 0.954
1.540 -3.267 3.751
2.623 1.820 4.005
```

Total moment in μB/atom: 0.00

Which structure loses on stability? *2* does.

*1*
Zr2Ni2Ag at its PBEsol-relaxed geometry. Source: the Alexandria database, functional meta-GGA SCAN. Values from VASP.

```
&SYSTEM
  ibrav = 0, nat = 5, ntyp = 3
/
ATOMIC_SPECIES
Ni 58.69 Ni.upf
Zr 91.22 Zr.upf
Ag 107.87 Ag.upf
ATOMIC_POSITIONS crystal
Ni 0.250 0.750 0.500
Ni 0.750 0.250 0.500
Zr 0.378 0.378 0.757
Zr 0.622 0.622 0.243
Ag 0.000 0.000 0.000
CELL_PARAMETERS angstrom
-2.667 -1.674 -0.942
1.652 -1.176 -2.587
2.864 -4.759 6.079
```

Total moment in μB/atom: 0.00

*2*
Zr2Ni2Ag at its PBEsol-relaxed geometry. Source: the Alexandria database, functional meta-GGA SCAN. Values from VASP.

```
&SYSTEM
  ibrav = 0, nat = 10, ntyp = 3
/
ATOMIC_SPECIES
Ni 58.69 Ni.upf
Zr 91.22 Zr.upf
Ag 107.87 Ag.upf
ATOMIC_POSITIONS crystal
Ni 0.000 0.375 0.875
Ni 0.000 0.875 0.625
Ni 0.000 0.625 0.125
Ni 0.000 0.125 0.375
Zr 0.500 0.171 0.671
Zr 0.500 0.671 0.829
Zr 0.500 0.829 0.329
Zr 0.500 0.329 0.171
Ag 0.000 0.000 0.000
Ag 0.000 0.500 0.500
CELL_PARAMETERS angstrom
3.258 0.000 0.000
0.000 7.020 0.000
0.000 0.000 7.020
```

Total moment in μB/atom: 0.00

Which structure loses on stability? *1* does.

*1*
AgSO4 at its PBEsol-relaxed geometry. Source: the Alexandria database, functional meta-GGA SCAN. Values from VASP.

```
&SYSTEM
  ibrav = 0, nat = 12, ntyp = 3
/
ATOMIC_SPECIES
Ag 107.87 Ag.upf
S 32.06 S.upf
O 16.00 O.upf
ATOMIC_POSITIONS crystal
Ag 0.000 0.000 0.000
Ag 0.500 0.500 0.500
S 0.852 0.584 0.758
S 0.148 0.416 0.242
O 0.761 0.760 0.915
O 0.055 0.267 0.773
O 0.550 0.600 0.734
O 0.022 0.722 0.606
O 0.978 0.278 0.394
O 0.450 0.400 0.266
O 0.945 0.733 0.227
O 0.239 0.240 0.085
CELL_PARAMETERS angstrom
4.786 -0.315 0.152
1.946 4.292 -0.096
2.270 0.157 7.923
```

Total moment in μB/atom: 0.00

*2*
AgSO4 at its PBEsol-relaxed geometry. Source: the Alexandria database, functional meta-GGA SCAN. Values from VASP.

```
&SYSTEM
  ibrav = 0, nat = 48, ntyp = 3
/
ATOMIC_SPECIES
Ag 107.87 Ag.upf
S 32.06 S.upf
O 16.00 O.upf
ATOMIC_POSITIONS crystal
Ag 0.500 0.000 0.000
Ag 0.000 0.000 0.000
Ag 0.000 0.500 0.500
Ag 0.500 0.500 0.500
Ag 0.500 0.500 0.000
Ag 0.000 0.000 0.500
Ag 0.000 0.500 0.000
Ag 0.500 0.000 0.500
S 0.560 0.763 0.298
S 0.940 0.702 0.237
S 0.440 0.237 0.702
S 0.060 0.298 0.763
S 0.451 0.199 0.250
S 0.049 0.750 0.801
S 0.549 0.801 0.750
S 0.951 0.250 0.199
O 0.281 0.100 0.703
O 0.219 0.297 0.900
O 0.719 0.900 0.297
O 0.781 0.703 0.100
O 0.068 0.864 0.380
O 0.432 0.620 0.136
O 0.932 0.136 0.620
O 0.568 0.380 0.864
O 0.062 0.696 0.183
O 0.438 0.817 0.304
O 0.938 0.304 0.817
O 0.562 0.183 0.696
O 0.856 0.553 0.284
O 0.644 0.716 0.447
O 0.144 0.447 0.716
O 0.356 0.284 0.553
O 0.905 0.600 0.808
O 0.595 0.192 0.400
O 0.095 0.400 0.192
O 0.405 0.808 0.600
O 0.017 0.889 0.810
O 0.483 0.190 0.111
O 0.983 0.111 0.190
O 0.517 0.810 0.889
O 0.026 0.711 0.635
O 0.474 0.365 0.289
O 0.974 0.289 0.365
O 0.526 0.635 0.711
O 0.237 0.798 0.944
O 0.263 0.056 0.202
O 0.763 0.202 0.056
O 0.737 0.944 0.798
CELL_PARAMETERS angstrom
-6.800 -1.698 -6.404
6.823 -6.555 0.858
-2.514 -0.439 9.151
```

Total moment in μB/atom: 0.00

Which structure loses on stability? *1* does.

*1*
Ag2Os at its PBEsol-relaxed geometry. Source: the Alexandria database, functional meta-GGA SCAN. Values from VASP.

```
&SYSTEM
  ibrav = 0, nat = 3, ntyp = 2
/
ATOMIC_SPECIES
Os 190.23 Os.upf
Ag 107.87 Ag.upf
ATOMIC_POSITIONS crystal
Os 0.000 0.000 0.000
Ag 0.667 0.333 0.331
Ag 0.333 0.667 0.669
CELL_PARAMETERS angstrom
-1.707 1.686 1.320
-0.907 -2.407 -0.938
1.748 -3.061 6.168
```

Total moment in μB/atom: 0.00

*2*
Ag2Os at its PBEsol-relaxed geometry. Source: the Alexandria database, functional meta-GGA SCAN. Values from VASP.

```
&SYSTEM
  ibrav = 0, nat = 6, ntyp = 2
/
ATOMIC_SPECIES
Ag 107.87 Ag.upf
Os 190.23 Os.upf
ATOMIC_POSITIONS crystal
Ag 0.250 0.413 0.826
Ag 0.750 0.587 0.174
Ag 0.250 0.752 0.504
Ag 0.750 0.248 0.496
Os 0.250 0.063 0.127
Os 0.750 0.937 0.873
CELL_PARAMETERS angstrom
-3.501 1.034 -1.016
-0.742 -3.935 -1.448
-1.656 0.376 6.087
```

Total moment in μB/atom: 0.00

Which structure loses on stability? *2* does.

*1*
AgOs at its PBEsol-relaxed geometry. Source: the Alexandria database, functional meta-GGA SCAN. Values from VASP.

```
&SYSTEM
  ibrav = 0, nat = 4, ntyp = 2
/
ATOMIC_SPECIES
Ag 107.87 Ag.upf
Os 190.23 Os.upf
ATOMIC_POSITIONS crystal
Ag 0.881 0.631 0.762
Ag 0.119 0.369 0.238
Os 0.359 0.109 0.718
Os 0.641 0.891 0.282
CELL_PARAMETERS angstrom
2.766 0.000 0.000
0.000 4.738 0.000
-1.383 -2.369 4.739
```

Total moment in μB/atom: 0.00

*2*
AgOs at its PBEsol-relaxed geometry. Source: the Alexandria database, functional meta-GGA SCAN. Values from VASP.

```
&SYSTEM
  ibrav = 0, nat = 4, ntyp = 2
/
ATOMIC_SPECIES
Ag 107.87 Ag.upf
Os 190.23 Os.upf
ATOMIC_POSITIONS crystal
Ag 0.250 0.750 0.128
Ag 0.750 0.250 0.872
Os 0.250 0.750 0.613
Os 0.750 0.250 0.387
CELL_PARAMETERS angstrom
2.699 0.013 0.000
-1.285 2.373 0.000
0.000 0.000 9.616
```

Total moment in μB/atom: 0.26

Which structure loses on stability? *1* does.

*1*
AgOs2 at its PBEsol-relaxed geometry. Source: the Alexandria database, functional meta-GGA SCAN. Values from VASP.

```
&SYSTEM
  ibrav = 0, nat = 3, ntyp = 2
/
ATOMIC_SPECIES
Os 190.23 Os.upf
Ag 107.87 Ag.upf
ATOMIC_POSITIONS crystal
Os 0.667 0.333 0.610
Os 0.333 0.667 0.390
Ag 0.000 0.000 0.000
CELL_PARAMETERS angstrom
-0.467 2.268 -2.899
-2.466 -2.691 0.666
-2.404 2.852 2.619
```

Total moment in μB/atom: 0.00

*2*
AgOs2 at its PBEsol-relaxed geometry. Source: the Alexandria database, functional meta-GGA SCAN. Values from VASP.

```
&SYSTEM
  ibrav = 0, nat = 3, ntyp = 2
/
ATOMIC_SPECIES
Os 190.23 Os.upf
Ag 107.87 Ag.upf
ATOMIC_POSITIONS crystal
Os 0.667 0.333 0.352
Os 0.333 0.667 0.648
Ag 0.000 0.000 0.000
CELL_PARAMETERS angstrom
-0.384 2.227 -1.537
-1.941 -0.806 1.747
2.824 3.895 4.936
```

Total moment in μB/atom: 0.00

Which structure loses on stability? *1* does.

*1*
AgOsPt2 at its PBEsol-relaxed geometry. Source: the Alexandria database, functional meta-GGA SCAN. Values from VASP.

```
&SYSTEM
  ibrav = 0, nat = 4, ntyp = 3
/
ATOMIC_SPECIES
Os 190.23 Os.upf
Ag 107.87 Ag.upf
Pt 195.08 Pt.upf
ATOMIC_POSITIONS crystal
Os 0.000 0.500 0.500
Ag 0.500 0.000 0.500
Pt 0.000 0.000 0.000
Pt 0.500 0.500 0.000
CELL_PARAMETERS angstrom
-0.965 1.486 2.014
-4.260 0.111 -2.123
-1.260 -3.965 2.321
```

Total moment in μB/atom: 0.00

*2*
AgOsPt2 at its PBEsol-relaxed geometry. Source: the Alexandria database, functional meta-GGA SCAN. Values from VASP.

```
&SYSTEM
  ibrav = 0, nat = 4, ntyp = 3
/
ATOMIC_SPECIES
Os 190.23 Os.upf
Ag 107.87 Ag.upf
Pt 195.08 Pt.upf
ATOMIC_POSITIONS crystal
Os 0.500 0.000 0.000
Ag 0.500 0.500 0.500
Pt 0.000 0.000 0.500
Pt 0.000 0.500 0.000
CELL_PARAMETERS angstrom
3.918 0.000 0.000
0.000 3.906 0.000
0.000 0.000 3.906
```

Total moment in μB/atom: 0.35

*3*
AgOsPt2 at its PBEsol-relaxed geometry. Source: the Alexandria database, functional meta-GGA SCAN. Values from VASP.

```
&SYSTEM
  ibrav = 0, nat = 4, ntyp = 3
/
ATOMIC_SPECIES
Os 190.23 Os.upf
Pt 195.08 Pt.upf
Ag 107.87 Ag.upf
ATOMIC_POSITIONS crystal
Os 0.253 0.253 0.240
Pt 0.997 0.997 0.008
Pt 0.748 0.748 0.755
Ag 0.501 0.501 0.497
CELL_PARAMETERS angstrom
2.753 0.000 0.000
1.377 2.384 0.000
1.377 0.795 9.144
```

Total moment in μB/atom: 0.00

Which structure loses on stability? *1* does.

*1*
AgOs2Ru at its PBEsol-relaxed geometry. Source: the Alexandria database, functional meta-GGA SCAN. Values from VASP.

```
&SYSTEM
  ibrav = 0, nat = 4, ntyp = 3
/
ATOMIC_SPECIES
Ag 107.87 Ag.upf
Os 190.23 Os.upf
Ru 101.07 Ru.upf
ATOMIC_POSITIONS crystal
Ag 0.500 0.500 0.500
Os 0.000 0.000 0.767
Os 0.000 0.000 0.233
Ru 0.500 0.500 0.000
CELL_PARAMETERS angstrom
-2.643 -0.223 -0.496
0.335 -3.876 -0.040
-0.995 -0.142 5.369
```

Total moment in μB/atom: 0.00

*2*
AgOs2Ru at its PBEsol-relaxed geometry. Source: the Alexandria database, functional meta-GGA SCAN. Values from VASP.

```
&SYSTEM
  ibrav = 0, nat = 4, ntyp = 3
/
ATOMIC_SPECIES
Ag 107.87 Ag.upf
Os 190.23 Os.upf
Ru 101.07 Ru.upf
ATOMIC_POSITIONS crystal
Ag 0.500 0.000 0.000
Os 0.000 0.000 0.500
Os 0.000 0.500 0.000
Ru 0.500 0.500 0.500
CELL_PARAMETERS angstrom
-2.484 -0.385 1.095
0.111 -4.416 -1.302
1.947 -1.135 4.016
```

Total moment in μB/atom: 0.56

*3*
AgOs2Ru at its PBEsol-relaxed geometry. Source: the Alexandria database, functional meta-GGA SCAN. Values from VASP.

```
&SYSTEM
  ibrav = 0, nat = 4, ntyp = 3
/
ATOMIC_SPECIES
Ag 107.87 Ag.upf
Os 190.23 Os.upf
Ru 101.07 Ru.upf
ATOMIC_POSITIONS crystal
Ag 0.249 0.249 0.252
Os 0.005 0.005 0.985
Os 0.750 0.750 0.749
Ru 0.495 0.495 0.515
CELL_PARAMETERS angstrom
2.710 0.000 0.000
1.355 2.347 0.000
1.355 0.782 9.062
```

Total moment in μB/atom: 0.00

Which structure loses on stability? *2* does.

*1*
AgOsRu2 at its PBEsol-relaxed geometry. Source: the Alexandria database, functional meta-GGA SCAN. Values from VASP.

```
&SYSTEM
  ibrav = 0, nat = 4, ntyp = 3
/
ATOMIC_SPECIES
Ag 107.87 Ag.upf
Os 190.23 Os.upf
Ru 101.07 Ru.upf
ATOMIC_POSITIONS crystal
Ag 0.499 0.499 0.502
Os 0.256 0.256 0.233
Ru 0.000 0.000 0.999
Ru 0.745 0.745 0.766
CELL_PARAMETERS angstrom
2.696 0.000 0.000
1.348 2.335 0.000
1.348 0.778 9.043
```

Total moment in μB/atom: 0.00

*2*
AgOsRu2 at its PBEsol-relaxed geometry. Source: the Alexandria database, functional meta-GGA SCAN. Values from VASP.

```
&SYSTEM
  ibrav = 0, nat = 4, ntyp = 3
/
ATOMIC_SPECIES
Ag 107.87 Ag.upf
Os 190.23 Os.upf
Ru 101.07 Ru.upf
ATOMIC_POSITIONS crystal
Ag 0.500 0.500 0.500
Os 0.500 0.000 0.000
Ru 0.000 0.000 0.500
Ru 0.000 0.500 0.000
CELL_PARAMETERS angstrom
3.802 0.000 0.000
0.000 3.860 0.000
0.000 0.000 3.860
```

Total moment in μB/atom: 0.59

*3*
AgOsRu2 at its PBEsol-relaxed geometry. Source: the Alexandria database, functional meta-GGA SCAN. Values from VASP.

```
&SYSTEM
  ibrav = 0, nat = 4, ntyp = 3
/
ATOMIC_SPECIES
Ag 107.87 Ag.upf
Os 190.23 Os.upf
Ru 101.07 Ru.upf
ATOMIC_POSITIONS crystal
Ag 0.500 0.500 0.000
Os 0.750 0.250 0.500
Ru 0.000 0.000 0.000
Ru 0.250 0.750 0.500
CELL_PARAMETERS angstrom
-0.839 3.548 -0.974
-1.318 -1.223 -3.318
-2.530 -1.580 3.733
```

Total moment in μB/atom: 0.00

Which structure loses on stability? *2* does.

*1*
ScAg2Os at its PBEsol-relaxed geometry. Source: the Alexandria database, functional meta-GGA SCAN. Values from VASP.

```
&SYSTEM
  ibrav = 0, nat = 4, ntyp = 3
/
ATOMIC_SPECIES
Ag 107.87 Ag.upf
Os 190.23 Os.upf
Sc 44.96 Sc.upf
ATOMIC_POSITIONS crystal
Ag 0.247 0.247 0.258
Ag 0.753 0.753 0.742
Os 0.500 0.500 0.500
Sc 0.000 0.000 0.000
CELL_PARAMETERS angstrom
-1.507 -1.282 1.975
0.768 -2.523 0.927
5.172 2.892 7.802
```

Total moment in μB/atom: 0.23

*2*
ScAg2Os at its PBEsol-relaxed geometry. Source: the Alexandria database, functional meta-GGA SCAN. Values from VASP.

```
&SYSTEM
  ibrav = 0, nat = 4, ntyp = 3
/
ATOMIC_SPECIES
Ag 107.87 Ag.upf
Os 190.23 Os.upf
Sc 44.96 Sc.upf
ATOMIC_POSITIONS crystal
Ag 0.000 0.000 0.500
Ag 0.500 0.500 0.500
Os 0.500 0.000 0.000
Sc 0.000 0.500 0.000
CELL_PARAMETERS angstrom
-1.057 0.328 -2.550
-2.877 -3.734 1.497
-1.244 4.873 2.264
```

Total moment in μB/atom: 0.00

Which structure loses on stability? *1* does.